# Na2TmMnF6 PBE+U optimized geometry
data_Na2TmMnF6
_cell_length_a 5.9829
_cell_length_b 5.9829
_cell_length_c 14.5774
_cell_angle_alpha 90.00
_cell_angle_beta 90.00
_cell_angle_gamma 120.00
_symmetry_space_group_name_H-M 'R 3'
_symmetry_Int_Tables_number 146
_symmetry_space_group_name_Hall 'R 3'
loop_
_atom_site_label
_atom_site_fract_x
_atom_site_fract_y
_atom_site_fract_z
Na1 0.0000 0.0000 0.0000
Na2 0.0000 0.0000 0.4880
Tm1 0.0000 0.0000 0.7131
Mn1 0.0000 0.0000 0.2296
F1 0.0103 0.2763 0.6133
F2 0.0748 0.7281 0.7858
# - crystal system = trigonal
# - total DFT energy (no corrections) (eV/atom) = -5.531
# - density of states at the Fermi level (states/eV/atom) = 0.193